# LaRhIN2

A geometry-optimized LaRhIN2 structure (GGA-PBE, Alexandria).

Geometry as POSCAR:
```
LaRhIN2
1.0
-3.625 -0.894 -2.131
2.235 -2.365 -2.809
-0.695 -4.106 2.904
I N Rh La
1 2 1 1
Cartesian
-0.347 -2.053 1.452
1.117 -1.182 -1.405
-1.812 -0.447 -1.066
0.000 0.000 0.000
-1.042 -3.682 -1.018
```

Calculated values
Distance to the lowest polymorph of the same formula, eV/f.u.: 0.00
Magnetization, μB per cell: 2.01
Electronic total energy, eV/cell: -27.58



# LaRhI2N

A geometry-optimized LaRhI2N structure (GGA-PBE, Alexandria).

Geometry as POSCAR:
```
LaRhI2N
1.0
6.408 0.000 0.000
0.000 6.408 0.000
0.000 0.000 4.117
I N Rh La
2 1 1 1
Cartesian
0.000 3.204 0.000
3.204 0.000 0.000
0.000 0.000 2.059
3.204 3.204 2.059
0.000 0.000 0.000
```

Calculated values
Distance to the lowest polymorph of the same formula, eV/f.u.: 2.70
Magnetization, μB per cell: 1.95
Electronic total energy, eV/cell: -21.84